[1]
# PaBr5

Crystalline PaBr5 at its relaxed geometry (PBE, the Alexandria database).

Computed properties:
- Calculated density: 3.8 g/cm³
- Magnetic moment: 0.00 μB/f.u.
- Uncorrected formation energy: -8.3 eV per formula unit
- Symmetry: I4/m (87)
- DOS at the Fermi energy: 0.0000 states/eV per atom
- Energy above the lowest structure with this stoichiometry: 30.2 meV/atom

Cell and atoms, written as extended XYZ:
```
6
Lattice="-3.0670 4.8180 0.4526 -5.2409 0.5716 -5.3361 -6.0660 -0.8616 4.3277" Properties=species:S:1:pos:R:3 pbc="T T T"
Pa 0.0000 0.0000 0.0000
Br -9.4393 4.0101 2.1339
Br -1.5335 2.4090 0.2263
Br -4.9346 0.5179 -2.6897
Br -9.0772 1.1509 -1.2373
Br -5.2967 3.3771 0.6815
```


[2]
# TcPdCl3

Crystalline TcPdCl3 at its relaxed geometry (PBE, the Alexandria database).

Computed properties:
- Calculated density: 4.5 g/cm³
- Magnetic moment: 3.51 μB/f.u.
- Uncorrected formation energy: 1.1 eV per formula unit
- Symmetry: Pm-3m (221)
- DOS at the Fermi energy: 0.8261 states/eV per atom
- Energy above the lowest structure with this stoichiometry: 0.0 meV/atom

Cell and atoms, written as extended XYZ:
```
5
Lattice="-0.5623 -4.1913 2.4253 4.6157 0.2744 1.5444 -1.4643 2.4744 3.9367" Properties=species:S:1:pos:R:3 pbc="T T T"
Tc 0.0000 0.0000 0.0000
Pd 1.2946 -0.7212 3.9532
Cl 2.3078 0.1372 0.7722
Cl -0.7322 1.2372 1.9684
Cl -0.2811 -2.0956 1.2126
```


[3]
# B2C

Crystalline B2C at its relaxed geometry (PBE, the Alexandria database).

Computed properties:
- Calculated density: 2.5 g/cm³
- Magnetic moment: 0.00 μB/f.u.
- Formation energy from the elements: 0.51 eV per atom
- Symmetry: P-4m2 (115)
- DOS at the Fermi energy: 0.3786 states/eV per atom
- Energy above the lowest structure with this stoichiometry: 320.9 meV/atom

Cell and atoms, written as extended XYZ:
```
12
Lattice="-1.5669 2.1720 0.3786 -1.8335 -1.0257 -1.7036 -5.4356 -5.5204 9.1741" Properties=species:S:1:pos:R:3 pbc="T T T"
B -4.0028 -3.6471 4.3569
B -3.6654 -3.7226 6.1863
B -2.1147 -1.7295 1.1701
B -1.7702 -1.7978 2.9877
B -3.1329 -1.3002 4.1547
B -5.9289 -5.6033 7.6077
B -1.2068 0.6560 0.9039
B -5.0211 -3.2178 7.3416
C -4.4180 -2.1871 3.9246
C 0.0000 0.0000 0.0000
C -2.5567 -0.2967 0.7831
C -6.2793 -4.0774 7.0660
```


[4]
# CeTlAu10

Crystalline CeTlAu10 at its relaxed geometry (PBE, the Alexandria database).

Computed properties:
- Calculated density: 14.7 g/cm³
- Magnetic moment: 1.27 μB/f.u.
- Formation energy from the elements: -0.18 eV per atom
- Symmetry: Pmmm (47)
- DOS at the Fermi energy: 1.0530 states/eV per atom

Cell and atoms, written as extended XYZ:
```
12
Lattice="4.6929 0.0000 0.0000 0.0000 5.7186 0.0000 0.0000 0.0000 9.7219" Properties=species:S:1:pos:R:3 pbc="T T T"
Ce 0.0000 0.0000 0.0000
Tl 0.0000 2.8593 4.8609
Au 0.0000 0.0000 3.2542
Au 0.0000 2.8593 8.0466
Au 0.0000 2.8593 1.6753
Au 0.0000 0.0000 6.4677
Au 2.3465 0.0000 4.8609
Au 2.3465 2.8593 0.0000
Au 2.3465 1.3737 2.3154
Au 2.3465 4.3448 7.4065
Au 2.3465 4.3448 2.3154
Au 2.3465 1.3737 7.4065
```


What is the formula in the first record? PaBr5